(1)
Be2CuAu2 | PBE-GGA | optimized geometry

Calculated values
E above lowest polymorph, eV per atom: 0.048
Symmetry: C2/m
E_form, meV per atom: -64

Cell lengths 2.8419, 5.8294, 8.3332 Å; angles 92.41, 80.18, 75.89 degrees
Element x y z (fractional)
Be 0.1226 0.8656 0.8893
Au 0.1569 0.3817 0.3045
Cu 0.8267 0.9769 0.3697
Be 0.4319 0.6864 0.4498
Au 0.4324 0.2452 0.8899
Be 0.5681 0.3136 0.5502
Be 0.8774 0.1344 0.1107
Au 0.8431 0.6183 0.6955
Cu 0.1733 0.0231 0.6303
Au 0.5676 0.7548 0.1101

***

(2)
BeCu4Au3 | PBE-GGA | optimized geometry

Calculated values
Symmetry: P4/mmm
E_form, meV per atom: -40

Cell lengths 2.8219, 2.8219, 13.8687 Å; angles 90.00, 90.00, 90.00 degrees
Element x y z (fractional)
Cu 0.0000 0.0000 0.0906
Au 0.5000 0.5000 0.7721
Be 0.5000 0.5000 0.0000
Cu 0.0000 0.0000 0.9094
Cu 0.0000 0.0000 0.3642
Au 0.5000 0.5000 0.2279
Cu 0.0000 0.0000 0.6358
Au 0.5000 0.5000 0.5000

***

(3)
Be5Cu4Au | PBE-GGA | optimized geometry

Calculated values
Symmetry: P4/mmm
E_form, meV per atom: -99

Cell lengths 2.7869, 2.7869, 13.5111 Å; angles 90.00, 90.00, 90.00 degrees
Element x y z (fractional)
Be 0.5000 0.5000 0.6934
Cu 0.0000 0.0000 0.4043
Cu 0.0000 0.0000 0.2126
Au 0.0000 0.0000 0.0000
Cu 0.0000 0.0000 0.5957
Be 0.5000 0.5000 0.1207
Be 0.5000 0.5000 0.3066
Cu 0.0000 0.0000 0.7874
Be 0.5000 0.5000 0.8793
Be 0.5000 0.5000 0.5000